First-principles (PBE-GGA) data for ZrMnAl2 after structural relaxation, as listed in Alexandria.

abc: 9.446 9.446 9.446
angles: 17.94 17.94 17.94
Last column: magnetic moment on the atom in μB.
Fractional positions:
Mn: 0.505 0.505 0.505  3.16
Zr: 0.753 0.753 0.753  0.08
Al: 0.996 0.996 0.996  0.00
Al: 0.246 0.246 0.246  -0.02

Energy of formation from the pure elements, eV/atom: 0.0398

First-principles (PBE-GGA) data for CaAl3Ge3 after structural relaxation, as listed in Alexandria.

abc: 4.071 10.216 10.212
angles: 120.01 90.00 90.00
Fractional positions:
Al: 0.250 0.586 0.939
Ca: 0.750 0.333 0.667
Ge: 0.250 0.587 0.690
Al: 0.750 0.939 0.353
Ca: 0.250 0.667 0.333
Ge: 0.750 0.896 0.587
Ge: 0.750 0.690 0.104
Al: 0.750 0.414 0.061
Ge: 0.750 0.413 0.310
Al: 0.250 0.061 0.647
Al: 0.250 0.353 0.414
Ge: 0.250 0.310 0.896
Ge: 0.250 0.104 0.413
Al: 0.750 0.647 0.586

Energy above the lowest structure with this stoichiometry, meV per atom: 0
Energy of formation from the pure elements, eV/atom: -0.1378

First-principles (PBE-GGA) data for NbMoN2 after structural relaxation, as listed in Alexandria.

abc: 3.868 3.868 3.868
angles: 60.00 60.00 60.00
Fractional positions:
Nb: 0.000 0.000 0.000
N: 0.250 0.250 0.250
N: 0.750 0.750 0.750
Mo: 0.500 0.500 0.500

Energy above the lowest structure with this stoichiometry, meV per atom: 568
Raw formation energy, eV per atom: -0.02

First-principles (PBE-GGA) data for GaSiPd2Pb after structural relaxation, as listed in Alexandria.

abc: 4.663 5.408 4.663
angles: 90.00 90.00 90.00
Fractional positions:
Si: 0.500 0.500 0.500
Pd: 0.500 0.000 0.000
Pb: 0.000 0.500 0.000
Pd: 0.000 0.000 0.500
Ga: 0.000 0.000 0.000

Raw formation energy, eV per atom: 0.54

First-principles (PBE-GGA) data for AlBRu2F after structural relaxation, as listed in Alexandria.

abc: 4.273 3.492 4.273
angles: 90.00 90.00 90.00
Last column: magnetic moment on the atom in μB.
Fractional positions:
Ru: 0.500 0.000 0.000  0.87
B: 0.000 0.000 0.000  -0.04
F: 0.000 0.500 0.000  0.09
Ru: 0.000 0.000 0.500  0.87
Al: 0.500 0.500 0.500  -0.01

Raw formation energy, eV per atom: 0.16

First-principles (PBE-GGA) data for Ga2CoIrRu after structural relaxation, as listed in Alexandria.

abc: 4.650 4.793 4.650
angles: 90.00 90.00 90.00
Last column: magnetic moment on the atom in μB.
Fractional positions:
Ru: 0.000 0.500 0.000  0.26
Ga: 0.500 0.000 0.000  0.00
Ga: 0.000 0.000 0.500  0.00
Ir: 0.000 0.000 0.000  -0.01
Co: 0.500 0.500 0.500  2.03

Energy above the lowest structure with this stoichiometry, meV per atom: 260
Energy of formation from the pure elements, eV/atom: 1.0760

First-principles (PBE-GGA) data for Na3Ta2TiN6 after structural relaxation, as listed in Alexandria.

abc: 5.408 5.408 5.942
angles: 98.72 98.72 120.00
Fractional positions:
Ta: 0.333 0.667 0.000
N: 0.936 0.603 0.807
Na: 0.835 0.165 0.500
Ta: 0.667 0.333 0.000
Na: 0.500 0.500 0.500
N: 0.397 0.064 0.193
Na: 0.165 0.835 0.500
N: 0.731 0.731 0.192
N: 0.269 0.269 0.808
N: 0.603 0.936 0.807
N: 0.064 0.397 0.193
Ti: 0.000 0.000 0.000

Raw formation energy, eV per atom: -0.84

First-principles (PBE-GGA) data for Y2ScN after structural relaxation, as listed in Alexandria.

abc: 6.983 6.983 6.663
angles: 58.40 58.40 90.00
Fractional positions:
N: 0.500 0.500 0.000
Sc: 0.750 0.250 0.500
Y: 0.265 0.625 0.250
Y: 0.875 0.735 0.750
Y: 0.485 0.125 0.250
Y: 0.375 0.515 0.750
N: 0.250 0.750 0.500
Sc: 0.000 0.000 0.000

Raw formation energy, eV per atom: -0.34

no.,total moment (μB per atom)
1,0.844
2,0.000
3,0.000
4,0.000
5,0.368
6,0.447
7,0.000
8,0.000